1.
Below is HgRh2Se after structural relaxation, with properties calculated at the PBEsol level.

Results
The total energy is -5.18 eV/atom.

```
data_HgRh2Se
_symmetry_space_group_name_H-M 'P 4/m m m'
_symmetry_Int_Tables_number 123
_symmetry_space_group_name_Hall '-P 4 2'
_cell_length_a 3.022
_cell_length_b 3.022
_cell_length_c 6.885
_cell_angle_alpha 90.00
_cell_angle_beta 90.00
_cell_angle_gamma 90.00
loop_
_atom_site_label
_atom_site_fract_x
_atom_site_fract_y
_atom_site_fract_z
Hg1 0.000 0.000 0.000
Rh1 0.500 0.500 0.285
Se1 0.000 0.000 0.500
```

2.
Below is TaTe2Os after structural relaxation, with properties calculated at the PBEsol level.

Results
The value obtained for the excess energy over the best structure of this formula in the dataset is 344 meV per atom.

```
data_TaTe2Os
_symmetry_space_group_name_H-M 'P 4/m m m'
_symmetry_Int_Tables_number 123
_symmetry_space_group_name_Hall '-P 4 2'
_cell_length_a 3.344
_cell_length_b 3.344
_cell_length_c 6.586
_cell_angle_alpha 90.00
_cell_angle_beta 90.00
_cell_angle_gamma 90.00
loop_
_atom_site_label
_atom_site_fract_x
_atom_site_fract_y
_atom_site_fract_z
Ta1 0.000 0.000 0.000
Te1 0.500 0.500 0.249
Os1 0.000 0.000 0.500
```

3.
Below is LaScAs2 after structural relaxation, with properties calculated at the PBEsol level.

Results
The value obtained for the formation energy from the elements is -1.43 eV per atom.

```
data_LaScAs2
_symmetry_space_group_name_H-M 'R -3 m'
_symmetry_Int_Tables_number 166
_symmetry_space_group_name_Hall '-R 3 2"'
_cell_length_a 4.0892
_cell_length_b 4.0892
_cell_length_c 19.8440
_cell_angle_alpha 90.00
_cell_angle_beta 90.00
_cell_angle_gamma 120.00
loop_
_atom_site_label
_atom_site_fract_x
_atom_site_fract_y
_atom_site_fract_z
La1 0.0000 0.0000 0.0000
Sc1 0.0000 0.0000 0.5000
As1 0.0000 0.0000 0.2403
```

4.
Below is KBaAg after structural relaxation, with properties calculated at the PBEsol level.

Results
The value obtained for the formation energy from the elements is 0.42 eV per atom.

```
data_KBaAg
_symmetry_space_group_name_H-M 'F -4 3 m'
_symmetry_Int_Tables_number 216
_symmetry_space_group_name_Hall 'F -4 2 3'
_cell_length_a 7.725
_cell_length_b 7.725
_cell_length_c 7.725
_cell_angle_alpha 90.00
_cell_angle_beta 90.00
_cell_angle_gamma 90.00
loop_
_atom_site_label
_atom_site_fract_x
_atom_site_fract_y
_atom_site_fract_z
K1 0.000 0.000 0.000
Ba1 0.250 0.250 0.250
Ag1 0.250 0.250 0.750
```